The following is a PBE calculation of an optimized crystal structure of AlCr4Sb, from Alexandria via LeMat-Bulk.

Calculated values
Energy relative to the elements, uncorrected (meV per atom): 241
Uncorrected energy (eV/atom): -7.485
Crystal system: cubic
Total magnetic moment (μB per cell): 0.000
Space group: F-43m (216)
Volume (A^3/atom): 13.9

Structure (POSCAR):
```
AlCr4Sb
1.0
-3.4789 -2.8974 1.8700
-4.7246 1.0137 -0.8031
-2.6515 -2.8661 -2.9579
Cr Sb Al
4 1 1
Direct
0.8768 0.3744 0.3744
0.3744 0.3744 0.3744
0.3744 0.3744 0.8768
0.3744 0.8768 0.3744
0.7500 0.7500 0.7500
0.0000 0.0000 0.0000
```

***

The following is a PBE calculation of an optimized crystal structure of AlCrSb2Te, from Alexandria via LeMat-Bulk.

Calculated values
Energy relative to the elements, uncorrected (meV per atom): 1260
Uncorrected energy (eV/atom): -3.691
Crystal system: tetragonal
Total magnetic moment (μB per cell): 0.249
Space group: P4/mmm (123)
Energy relative to the lowest polymorph listed for this composition (eV per atom): 0.7637
Volume (A^3/atom): 28.4

Structure (POSCAR):
```
AlCrSb2Te
1.0
-4.4434 -2.3676 -1.1898
2.2934 -4.5999 0.5884
-1.3592 -0.0226 5.1210
Te Cr Sb Al
1 1 2 1
Direct
0.0000 0.0000 0.5000
0.5000 0.5000 0.5000
0.5000 0.0000 0.0000
0.0000 0.5000 0.0000
0.0000 0.0000 0.0000
```

***

The following is a PBE calculation of an optimized crystal structure of AlCrSb2Te, from Alexandria via LeMat-Bulk.

Calculated values
Energy relative to the elements, uncorrected (meV per atom): 496
Uncorrected energy (eV/atom): -4.454
Crystal system: tetragonal
Total magnetic moment (μB per cell): 1.842
Space group: P4/mmm (123)
Energy relative to the lowest polymorph listed for this composition (eV per atom): 0.0000
Volume (A^3/atom): 27.8

Structure (POSCAR):
```
AlCrSb2Te
1.0
5.0076 0.0000 0.0000
0.0000 5.0076 0.0000
0.0000 0.0000 5.5358
Sb Al Te Cr
2 1 1 1
Direct
0.0000 0.5000 0.0000
0.5000 0.0000 0.0000
0.5000 0.5000 0.5000
0.0000 0.0000 0.5000
0.0000 0.0000 0.0000
```

***

The following is a PBE calculation of an optimized crystal structure of AlVCr2Sb, from Alexandria via LeMat-Bulk.

Calculated values
Energy relative to the elements, uncorrected (meV per atom): 1024
Uncorrected energy (eV/atom): -6.222
Crystal system: tetragonal
Total magnetic moment (μB per cell): 6.402
Space group: P4/mmm (123)
Volume (A^3/atom): 19.0

Structure (POSCAR):
```
AlVCr2Sb
1.0
4.5346 0.0000 0.0000
0.0000 4.6199 0.0000
0.0000 0.0000 4.5346
V Cr Sb Al
1 2 1 1
Direct
0.0000 0.5000 0.0000
0.5000 0.0000 0.0000
0.0000 0.0000 0.5000
0.5000 0.5000 0.5000
0.0000 0.0000 0.0000
```

***

The following is a PBE calculation of an optimized crystal structure of ScAlCr, from Alexandria via LeMat-Bulk.

Calculated values
Uncorrected energy (eV/atom): -6.639
Crystal system: tetragonal
Total magnetic moment (μB per cell): 1.993
Space group: I4mm (107)
Volume (A^3/atom): 17.1

Structure (POSCAR):
```
ScAlCr
1.0
-4.6790 2.7846 -0.6536
-4.4257 0.4384 3.2086
5.4752 0.1816 -0.2507
Al Cr Sc
1 1 1
Direct
0.0209 0.0209 0.0000
0.6555 0.6555 0.0000
0.3236 0.3236 0.0000
```

***

The following is a PBE calculation of an optimized crystal structure of ScAl2Cr, from Alexandria via LeMat-Bulk.

Calculated values
Uncorrected energy (eV/atom): -6.034
Crystal system: tetragonal
Total magnetic moment (μB per cell): 3.299
Space group: P4/mmm (123)
Energy relative to the lowest polymorph listed for this composition (eV per atom): 0.0348
Volume (A^3/atom): 17.1

Structure (POSCAR):
```
ScAl2Cr
1.0
4.0540 0.0000 0.0000
0.0000 4.0597 0.0000
0.0000 0.0000 4.1495
Cr Al Sc
1 2 1
Direct
0.5000 0.0000 0.5000
0.0000 0.0000 0.0000
0.5000 0.5000 0.0000
0.0000 0.5000 0.5000
```

***

The following is a PBE calculation of an optimized crystal structure of Sc2AlCr, from Alexandria via LeMat-Bulk.

Calculated values
Uncorrected energy (eV/atom): -6.051
Crystal system: tetragonal
Total magnetic moment (μB per cell): 0.000
Space group: I-42d (122)
Volume (A^3/atom): 18.8

Structure (POSCAR):
```
Sc2AlCr
1.0
-6.7019 -1.0102 -2.8743
-0.9067 -5.9694 4.2121
-4.9011 -1.9104 2.6712
Sc Cr Al
4 2 2
Direct
0.3750 0.3500 0.7500
0.8750 0.9000 0.7500
0.1000 0.6250 0.2500
0.6500 0.1250 0.2500
0.7500 0.2500 0.5000
0.0000 0.0000 0.0000
0.5000 0.5000 0.0000
0.2500 0.7500 0.5000
```

***

The following is a PBE calculation of an optimized crystal structure of ScAlCr2, from Alexandria via LeMat-Bulk.

Calculated values
Uncorrected energy (eV/atom): -7.089
Crystal system: tetragonal
Total magnetic moment (μB per cell): 0.000
Space group: I4/mmm (139)
Volume (A^3/atom): 14.9

Structure (POSCAR):
```
ScAlCr2
1.0
-0.5039 -4.7457 -1.4874
4.1126 -2.8257 0.2996
-2.4684 3.0814 3.0660
Cr Sc Al
2 1 1
Direct
0.5000 0.5000 0.0000
0.0000 0.0000 0.0000
0.2500 0.7500 0.5000
0.7500 0.2500 0.5000
```

***

The following is a PBE calculation of an optimized crystal structure of ScAlCr2, from Alexandria via LeMat-Bulk.

Calculated values
Uncorrected energy (eV/atom): -7.180
Crystal system: monoclinic
Total magnetic moment (μB per cell): 0.000
Space group: C2/m (12)
Volume (A^3/atom): 15.9

Structure (POSCAR):
```
ScAlCr2
1.0
4.8687 -0.1989 0.4569
3.9677 2.8286 0.4569
1.1687 0.3478 4.4933
Cr Sc Al
2 1 1
Direct
0.5051 0.5051 0.4164
0.9949 0.9949 0.0836
0.7500 0.7500 0.7500
0.2500 0.2500 0.2500
```

***

The following is a PBE calculation of an optimized crystal structure of ScAl2Cr, from Alexandria via LeMat-Bulk.

Calculated values
Uncorrected energy (eV/atom): -5.936
Crystal system: tetragonal
Total magnetic moment (μB per cell): 2.606
Space group: I-4m2 (119)
Energy relative to the lowest polymorph listed for this composition (eV per atom): 0.1336
Volume (A^3/atom): 16.9

Structure (POSCAR):
```
ScAl2Cr
1.0
4.9687 -0.0291 0.0000
1.6247 4.6956 0.0000
-3.2967 -2.3333 2.8942
Al Cr Sc
2 1 1
Direct
0.0000 0.0000 0.0000
0.2500 0.7500 0.5000
0.5000 0.5000 0.0000
0.7500 0.2500 0.5000
```

***

The following is a PBE calculation of an optimized crystal structure of ScAl2Cr2, from Alexandria via LeMat-Bulk.

Calculated values
Uncorrected energy (eV/atom): -6.653
Crystal system: tetragonal
Total magnetic moment (μB per cell): 0.174
Space group: P4/mbm (127)
Energy relative to the lowest polymorph listed for this composition (eV per atom): 0.0000
Volume (A^3/atom): 15.3

Structure (POSCAR):
```
ScAl2Cr2
1.0
7.4923 0.0000 0.0000
0.0000 7.4923 0.0000
0.0000 0.0000 2.7248
Al Sc Cr
4 2 4
Direct
0.3124 0.1876 0.5000
0.6876 0.8124 0.5000
0.1876 0.6876 0.5000
0.8124 0.3124 0.5000
0.5000 0.5000 0.0000
0.0000 0.0000 0.0000
0.3985 0.8985 0.0000
0.1015 0.3985 0.0000
0.8985 0.6015 0.0000
0.6015 0.1015 0.0000
```

***

The following is a PBE calculation of an optimized crystal structure of ScAl3Cr, from Alexandria via LeMat-Bulk.

Calculated values
Uncorrected energy (eV/atom): -4.216
Crystal system: cubic
Total magnetic moment (μB per cell): 4.016
Space group: Pm-3m (221)
Energy relative to the lowest polymorph listed for this composition (eV per atom): 1.2930
Volume (A^3/atom): 27.0

Structure (POSCAR):
```
ScAl3Cr
1.0
-3.7085 -1.7772 3.0643
3.2047 -3.5735 1.8059
1.5094 3.2207 3.6946
Al Sc Cr
3 1 1
Direct
0.0000 0.0000 0.5000
0.5000 0.0000 0.0000
0.0000 0.5000 0.0000
0.0000 0.0000 0.0000
0.5000 0.5000 0.5000
```

***

Number 5 is which compound?
ScAlCr

***

volume of number 6 (ScAl2Cr)?
17.1 A^3/atom

***

Look up the volume of the first one.
13.9 A^3/atom